The following is a DFT calculation (PBE) of crystalline TiCd2Au2 at its relaxed geometry.

The structure in POSCAR format:
```
TiCd2Au2
1.0
6.9726 0.0000 0.0000
0.0000 6.9726 0.0000
0.0000 0.0000 4.1927
Ti Cd Au
2 4 4
Cartesian
0.0000 0.0000 0.0000
3.4863 3.4863 0.0000
1.1716 2.3147 2.0963
2.3147 5.8010 2.0963
4.6579 1.1716 2.0963
5.8010 4.6579 2.0963
0.9790 4.4653 0.0000
2.5073 0.9790 0.0000
4.4653 5.9936 0.0000
5.9936 2.5073 0.0000
```

Values from the calculation:
Energy above the lowest structure with this stoichiometry, meV/atom: 0
Volume, Å³ per atom: 20.38
Size of the total moment, μB/f.u.: 0.000
ΔE_f, eV/f.u.: -0.21